1.
Computed, not measured: a relaxed structure of NaReP2Cl at the GGA-PBE level of DFT.

Geometry as POSCAR:
```
NaReP2Cl
1.0
-0.659 3.533 3.072
1.785 -2.678 3.464
4.133 1.568 -0.917
P Cl Re Na
2 1 1 1
direct
0.000 0.500 0.000
0.500 0.000 0.000
0.000 0.000 0.500
0.500 0.500 0.500
0.000 0.000 0.000
```

Total moment in μB/f.u.: 0.000
Raw formation energy in eV/atom: 1.997
Excess energy over the best structure of this formula in the dataset in eV/atom: 2.083


2.
Computed, not measured: a relaxed structure of NaRePCl2 at the GGA-PBE level of DFT.

Geometry as POSCAR:
```
NaRePCl2
1.0
-1.311 2.191 4.386
-2.980 -3.962 1.089
3.497 -2.060 2.074
Cl Re P Na
2 1 1 1
direct
0.500 0.000 0.000
0.000 0.500 0.000
0.000 0.000 0.000
0.000 0.000 0.500
0.500 0.500 0.500
```

Total moment in μB/f.u.: 1.518
Raw formation energy in eV/atom: -0.160
Excess energy over the best structure of this formula in the dataset in eV/atom: 0.000


3.
Computed, not measured: a relaxed structure of NaRePCl2 at the GGA-PBE level of DFT.

Geometry as POSCAR:
```
NaRePCl2
1.0
-3.720 1.573 2.577
-0.588 -4.388 1.830
3.431 1.280 4.172
Re Cl Na P
1 2 1 1
direct
0.500 0.500 0.500
0.000 0.500 0.000
0.500 0.000 0.000
0.000 0.000 0.000
0.000 0.000 0.500
```

Total moment in μB/f.u.: 2.999
Raw formation energy in eV/atom: 1.091
Excess energy over the best structure of this formula in the dataset in eV/atom: 1.252


4.
Computed, not measured: a relaxed structure of NaReP2Cl at the GGA-PBE level of DFT.

Geometry as POSCAR:
```
NaReP2Cl
1.0
-1.303 -3.738 2.228
1.803 -2.581 -3.275
4.819 -0.068 2.705
Cl P Re Na
1 2 1 1
direct
0.000 0.000 0.500
0.500 0.000 0.000
0.000 0.500 0.000
0.000 0.000 0.000
0.500 0.500 0.500
```

Total moment in μB/f.u.: 0.000
Raw formation energy in eV/atom: -0.086
Excess energy over the best structure of this formula in the dataset in eV/atom: 0.000


5.
Computed, not measured: a relaxed structure of NaP2RhCl at the GGA-PBE level of DFT.

Geometry as POSCAR:
```
NaP2RhCl
1.0
-1.337 -1.550 4.370
-3.784 -2.263 -1.961
2.619 -3.881 -0.575
P Na Cl Rh
2 1 1 1
direct
0.500 0.000 0.000
0.000 0.500 0.000
0.000 0.000 0.000
0.000 0.000 0.500
0.500 0.500 0.500
```

Total moment in μB/f.u.: 0.780
Raw formation energy in eV/atom: 1.389
Excess energy over the best structure of this formula in the dataset in eV/atom: 1.568


6.
Computed, not measured: a relaxed structure of NaPRhCl2 at the GGA-PBE level of DFT.

Geometry as POSCAR:
```
NaPRhCl2
1.0
5.184 0.000 0.000
0.000 5.184 0.000
0.000 0.000 4.387
Cl Rh P Na
2 1 1 1
direct
0.500 0.000 0.000
0.000 0.500 0.000
0.000 0.000 0.000
0.000 0.000 0.500
0.500 0.500 0.500
```

Total moment in μB/f.u.: 0.000
Raw formation energy in eV/atom: -0.447
Excess energy over the best structure of this formula in the dataset in eV/atom: 0.000